An optimized crystal structure of Ba2MnIr. Source: the Alexandria database, functional PBE. Values from VASP.

The structure in Quantum ESPRESSO input format:
```
&SYSTEM
  ibrav = 0, nat = 4, ntyp = 3
/
ATOMIC_SPECIES
Ir 192.22 Ir.upf
Ba 137.33 Ba.upf
Mn 54.94 Mn.upf
ATOMIC_POSITIONS crystal
Ir 0.409 0.409 0.000
Ba 0.756 0.256 0.500
Mn 0.333 0.833 0.500
Ba 0.002 0.002 0.000
CELL_PARAMETERS angstrom
7.998 0.413 -0.186
5.162 6.123 0.186
-6.383 -3.664 3.162
```

Calculated values
- Magnetic moment: 4.12 μB/f.u.
- Energy of formation: 0.1632 eV per atom
- Total energy: -21.22 eV per formula unit

***

An optimized crystal structure of Ba2MnPIr. Source: the Alexandria database, functional PBE. Values from VASP.

The structure in Quantum ESPRESSO input format:
```
&SYSTEM
  ibrav = 0, nat = 5, ntyp = 4
/
ATOMIC_SPECIES
P 30.97 P.upf
Ba 137.33 Ba.upf
Mn 54.94 Mn.upf
Ir 192.22 Ir.upf
ATOMIC_POSITIONS crystal
P 0.000 0.000 0.000
Ba 0.000 0.000 0.500
Mn 0.500 0.500 0.500
Ba 0.500 0.000 0.000
Ir 0.000 0.500 0.000
CELL_PARAMETERS angstrom
6.214 0.000 0.000
0.000 4.354 0.000
0.000 0.000 6.214
```

Calculated values
- Magnetic moment: 4.43 μB/f.u.
- Energy of formation: 0.0138 eV per atom
- Total energy: -27.22 eV per formula unit

***

An optimized crystal structure of BaMnSiIr2. Source: the Alexandria database, functional PBE. Values from VASP.

The structure in Quantum ESPRESSO input format:
```
&SYSTEM
  ibrav = 0, nat = 5, ntyp = 4
/
ATOMIC_SPECIES
Ba 137.33 Ba.upf
Mn 54.94 Mn.upf
Si 28.09 Si.upf
Ir 192.22 Ir.upf
ATOMIC_POSITIONS crystal
Ba 0.000 0.500 0.000
Mn 0.500 0.500 0.500
Si 0.000 0.000 0.000
Ir 0.000 0.000 0.500
Ir 0.500 0.000 0.000
CELL_PARAMETERS angstrom
4.527 0.000 0.000
0.000 5.703 0.000
0.000 0.000 4.527
```

Calculated values
- Magnetic moment: 4.30 μB/f.u.
- ΔE_f (raw): 350 kJ/mol of formula units
- Total energy: -30.61 eV per formula unit

***

An optimized crystal structure of BaMn2TeIr. Source: the Alexandria database, functional PBE. Values from VASP.

The structure in Quantum ESPRESSO input format:
```
&SYSTEM
  ibrav = 0, nat = 5, ntyp = 4
/
ATOMIC_SPECIES
Ba 137.33 Ba.upf
Mn 54.94 Mn.upf
Te 127.60 Te.upf
Ir 192.22 Ir.upf
ATOMIC_POSITIONS crystal
Ba 0.500 0.500 0.500
Mn 0.000 0.000 0.500
Te 0.000 0.000 0.000
Mn 0.500 0.000 0.000
Ir 0.000 0.500 0.000
CELL_PARAMETERS angstrom
-2.457 -1.303 -4.181
4.321 0.613 -2.730
1.189 -4.813 0.802
```

Calculated values
- Magnetic moment: 7.08 μB/f.u.
- ΔE_f (raw): 286 kJ/mol of formula units
- Total energy: -29.30 eV per formula unit

***

An optimized crystal structure of BaMo2Ir. Source: the Alexandria database, functional PBE. Values from VASP.

The structure in Quantum ESPRESSO input format:
```
&SYSTEM
  ibrav = 0, nat = 4, ntyp = 3
/
ATOMIC_SPECIES
Ba 137.33 Ba.upf
Mo 95.94 Mo.upf
Ir 192.22 Ir.upf
ATOMIC_POSITIONS crystal
Ba 0.000 0.000 0.000
Mo 0.750 0.750 0.750
Mo 0.250 0.250 0.250
Ir 0.500 0.500 0.500
CELL_PARAMETERS angstrom
0.000 3.336 3.336
3.336 0.000 3.336
3.336 3.336 0.000
```

Calculated values
- Magnetic moment: 0.00 μB/f.u.
- Energy of formation: 1.0464 eV per atom
- Total energy: -28.26 eV per formula unit

***

An optimized crystal structure of BaMo2Ir. Source: the Alexandria database, functional PBE. Values from VASP.

The structure in Quantum ESPRESSO input format:
```
&SYSTEM
  ibrav = 0, nat = 4, ntyp = 3
/
ATOMIC_SPECIES
Mo 95.94 Mo.upf
Ir 192.22 Ir.upf
Ba 137.33 Ba.upf
ATOMIC_POSITIONS crystal
Mo 0.000 0.081 0.994
Ir 0.500 0.684 0.813
Mo 0.500 0.293 0.179
Ba 0.000 0.442 0.514
CELL_PARAMETERS angstrom
-1.901 2.543 0.776
-2.515 -1.776 -0.344
-1.416 -3.431 7.770
```

Calculated values
- Magnetic moment: 0.00 μB/f.u.
- Energy of formation: 0.5083 eV per atom
- Total energy: -30.41 eV per formula unit

***

An optimized crystal structure of BaMo2Ir. Source: the Alexandria database, functional PBE. Values from VASP.

The structure in Quantum ESPRESSO input format:
```
&SYSTEM
  ibrav = 0, nat = 4, ntyp = 3
/
ATOMIC_SPECIES
Mo 95.94 Mo.upf
Ir 192.22 Ir.upf
Ba 137.33 Ba.upf
ATOMIC_POSITIONS crystal
Mo 0.500 0.500 0.000
Ir 0.000 0.500 0.500
Mo 0.000 0.000 0.000
Ba 0.500 0.000 0.500
CELL_PARAMETERS angstrom
-4.484 2.541 2.401
2.483 -4.500 2.432
1.756 1.744 1.434
```

Calculated values
- Magnetic moment: 0.00 μB/f.u.
- Energy of formation: 1.2437 eV per atom
- Total energy: -27.47 eV per formula unit

***

An optimized crystal structure of BaMo2Ir. Source: the Alexandria database, functional PBE. Values from VASP.

The structure in Quantum ESPRESSO input format:
```
&SYSTEM
  ibrav = 0, nat = 8, ntyp = 3
/
ATOMIC_SPECIES
Mo 95.94 Mo.upf
Ba 137.33 Ba.upf
Ir 192.22 Ir.upf
ATOMIC_POSITIONS crystal
Mo 0.375 0.125 0.750
Ba 0.500 0.500 0.000
Mo 0.875 0.125 0.750
Ir 0.000 0.000 0.000
Ba 0.250 0.750 0.500
Mo 0.875 0.125 0.250
Mo 0.875 0.625 0.250
Ir 0.750 0.250 0.500
CELL_PARAMETERS angstrom
-0.762 -3.014 -3.919
4.848 0.322 -1.190
3.756 -8.381 2.522
```

Calculated values
- Magnetic moment: 0.00 μB/f.u.
- Energy of formation: 0.9392 eV per atom
- Total energy: -28.69 eV per formula unit

***

An optimized crystal structure of BaMo2Ir. Source: the Alexandria database, functional PBE. Values from VASP.

The structure in Quantum ESPRESSO input format:
```
&SYSTEM
  ibrav = 0, nat = 4, ntyp = 3
/
ATOMIC_SPECIES
Ba 137.33 Ba.upf
Mo 95.94 Mo.upf
Ir 192.22 Ir.upf
ATOMIC_POSITIONS crystal
Ba 0.500 0.250 0.250
Mo 0.000 0.098 0.900
Ir 0.500 0.750 0.750
Mo 0.000 0.402 0.600
CELL_PARAMETERS angstrom
3.448 0.000 0.000
0.000 3.393 0.024
0.000 3.354 7.810
```

Calculated values
- Magnetic moment: 0.00 μB/f.u.
- Energy of formation: 0.6022 eV per atom
- Total energy: -30.04 eV per formula unit

***

An optimized crystal structure of BaMo2Ir. Source: the Alexandria database, functional PBE. Values from VASP.

The structure in Quantum ESPRESSO input format:
```
&SYSTEM
  ibrav = 0, nat = 4, ntyp = 3
/
ATOMIC_SPECIES
Mo 95.94 Mo.upf
Ba 137.33 Ba.upf
Ir 192.22 Ir.upf
ATOMIC_POSITIONS crystal
Mo 0.000 0.000 0.000
Mo 0.500 0.500 0.000
Ba 0.500 0.000 0.500
Ir 0.000 0.500 0.500
CELL_PARAMETERS angstrom
3.083 0.000 0.000
0.000 5.103 0.000
0.000 0.000 4.968
```

Calculated values
- Magnetic moment: 0.00 μB/f.u.
- Energy of formation: 1.1495 eV per atom
- Total energy: -27.85 eV per formula unit

***

An optimized crystal structure of BaMo2Ir. Source: the Alexandria database, functional PBE. Values from VASP.

The structure in Quantum ESPRESSO input format:
```
&SYSTEM
  ibrav = 0, nat = 4, ntyp = 3
/
ATOMIC_SPECIES
Mo 95.94 Mo.upf
Ba 137.33 Ba.upf
Ir 192.22 Ir.upf
ATOMIC_POSITIONS crystal
Mo 0.000 0.000 0.557
Ba 0.500 0.500 0.250
Mo 0.000 0.000 0.943
Ir 0.500 0.500 0.750
CELL_PARAMETERS angstrom
2.886 0.000 0.000
0.000 2.886 0.000
0.000 0.000 9.647
```

Calculated values
- Magnetic moment: 0.00 μB/f.u.
- Energy of formation: 0.7635 eV per atom
- Total energy: -29.39 eV per formula unit

***

An optimized crystal structure of BaMo2Ir. Source: the Alexandria database, functional PBE. Values from VASP.

The structure in Quantum ESPRESSO input format:
```
&SYSTEM
  ibrav = 0, nat = 4, ntyp = 3
/
ATOMIC_SPECIES
Mo 95.94 Mo.upf
Ir 192.22 Ir.upf
Ba 137.33 Ba.upf
ATOMIC_POSITIONS crystal
Mo 0.989 0.989 0.000
Mo 0.794 0.294 0.500
Ir 0.214 0.714 0.500
Ba 0.503 0.503 0.000
CELL_PARAMETERS angstrom
5.847 0.002 -0.011
2.447 5.310 0.011
-3.265 -4.033 2.694
```

Calculated values
- Magnetic moment: 0.00 μB/f.u.
- Energy of formation: 0.9173 eV per atom
- Total energy: -28.78 eV per formula unit